A plane-wave DFT calculation with PBE-GGA was carried out for a relaxed structure of TcHgP2O.

The formation energy from raw total energies is 1.437 eV/atom. As for the offset from the most stable computed form: 1487.8 meV per atom.

The space group is P4/mmm (No. 123) and the conventional cell measures 4.9817, 4.9817 and 4.0307 Å, with angles of 90.00, 90.00 and 90.00 degrees. Symmetry generates all atoms from Tc at (0.0000, 0.0000, 0.0000), Hg at (0.5000, 0.5000, 0.5000), P at (0.0000, 0.5000, 0.5000) and O at (0.5000, 0.5000, 0.0000).

=====

A plane-wave DFT calculation with PBE-GGA was carried out for a relaxed structure of HgTePO6.

The formation energy from raw total energies is -1.041 eV/atom.

The space group is P312 (No. 149) and the conventional cell measures 5.1143, 5.1143 and 5.0692 Å, with angles of 90.00, 90.00 and 120.00 degrees. Symmetry generates all atoms from Hg at (0.0000, 0.0000, 0.0000), Te at (0.3333, 0.6667, 0.5000), P at (0.6667, 0.3333, 0.5000) and O at (0.4011, 0.0448, 0.7012).

=====

A plane-wave DFT calculation with PBE-GGA was carried out for a relaxed structure of HgTePO2.

The formation energy from raw total energies is -0.195 eV/atom. As for the offset from the most stable computed form: 0.0 meV per atom.

The space group is P4/mmm (No. 123) and the conventional cell measures 3.9882, 3.9882 and 5.4878 Å, with angles of 90.00, 90.00 and 90.00 degrees. Symmetry generates all atoms from Hg at (0.0000, 0.0000, 0.0000), Te at (0.5000, 0.5000, 0.5000), P at (0.5000, 0.5000, 0.0000) and O at (0.0000, 0.5000, 0.5000).

=====

A plane-wave DFT calculation with PBE-GGA was carried out for a relaxed structure of HgTeP2O.

The formation energy from raw total energies is 0.540 eV/atom. As for the offset from the most stable computed form: 0.0 meV per atom.

The space group is P4/mmm (No. 123) and the conventional cell measures 5.2118, 5.2118 and 3.9634 Å, with angles of 90.00, 90.00 and 90.00 degrees. Symmetry generates all atoms from Hg at (0.0000, 0.0000, 0.0000), Te at (0.5000, 0.5000, 0.5000), P at (0.0000, 0.5000, 0.5000) and O at (0.5000, 0.5000, 0.0000).

=====

A plane-wave DFT calculation with PBE-GGA was carried out for a relaxed structure of HgTeP2O.

The formation energy from raw total energies is 0.891 eV/atom. As for the offset from the most stable computed form: 350.3 meV per atom.

The space group is P4/mmm (No. 123) and the conventional cell measures 5.0544, 5.0544 and 4.1119 Å, with angles of 90.00, 90.00 and 90.00 degrees. Symmetry generates all atoms from Hg at (0.0000, 0.0000, 0.0000), Te at (0.5000, 0.5000, 0.5000), P at (0.0000, 0.5000, 0.0000) and O at (0.0000, 0.0000, 0.5000).

=====

A plane-wave DFT calculation with PBE-GGA was carried out for a relaxed structure of HgTePO2.

The formation energy from raw total energies is 0.642 eV/atom. As for the offset from the most stable computed form: 837.1 meV per atom.

The space group is P4/mmm (No. 123) and the conventional cell measures 4.1987, 4.1987 and 5.0999 Å, with angles of 90.00, 90.00 and 90.00 degrees. Symmetry generates all atoms from Hg at (0.0000, 0.0000, 0.0000), Te at (0.5000, 0.5000, 0.5000), P at (0.0000, 0.0000, 0.5000) and O at (0.0000, 0.5000, 0.0000).

=====

A plane-wave DFT calculation with PBE-GGA was carried out for a relaxed structure of TiHgPO2.

The formation energy from raw total energies is -1.252 eV/atom. As for the offset from the most stable computed form: 0.0 meV per atom.

The space group is P4/mmm (No. 123) and the conventional cell measures 3.7880, 3.7880 and 5.4946 Å, with angles of 90.00, 90.00 and 90.00 degrees. Symmetry generates all atoms from Ti at (0.0000, 0.0000, 0.0000), Hg at (0.5000, 0.5000, 0.5000), P at (0.0000, 0.0000, 0.5000) and O at (0.0000, 0.5000, 0.0000).

=====

A plane-wave DFT calculation with PBE-GGA was carried out for a relaxed structure of TiHgPO2.

The formation energy from raw total energies is 0.466 eV/atom. As for the offset from the most stable computed form: 1717.5 meV per atom.

The space group is P4/mmm (No. 123) and the conventional cell measures 4.0978, 4.0978 and 5.0567 Å, with angles of 90.00, 90.00 and 90.00 degrees. Symmetry generates all atoms from Ti at (0.0000, 0.0000, 0.0000), Hg at (0.5000, 0.5000, 0.5000), P at (0.5000, 0.5000, 0.0000) and O at (0.0000, 0.5000, 0.5000).

=====

We obtain M_tot values of 2.86, 0.00, 0.00, 0.00, 0.04, 0.00, 0.14, 0.77 μB per cell for the records listed above, in that order.